No. 1
PBE-GGA PmHoLuAg, optimized geometry; crystal system = cubic; electronic total energy = -4.07 eV/atom; calculated formation energy = 0.10 eV per atom
1.0
-3.1812 -4.0659 -1.4553
-2.2107 -3.1466 3.7391
-5.2746 0.2521 0.9408
Lu Ho Ag Pm
1 1 1 1
Cartesian
-5.3332 -3.4802 1.6123
0.0000 0.0000 0.0000
-2.6666 -1.7401 0.8062
-7.9998 -5.2203 2.4185



No. 2
PBE-GGA PrHoLuAg, optimized geometry; crystal system = cubic; electronic total energy = -4.13 eV/atom; calculated formation energy = 0.05 eV per atom
1.0
5.4111 0.0000 0.0000
2.7056 4.6862 0.0000
2.7056 1.5621 4.4182
Pr Lu Ho Ag
1 1 1 1
Cartesian
8.1167 4.6862 3.3136
5.4111 3.1241 2.2091
2.7056 1.5621 1.1045
0.0000 0.0000 0.0000



No. 3
PBE-GGA HoLuScAg, optimized geometry; crystal system = cubic; electronic total energy = -4.54 eV/atom; calculated formation energy = 0.03 eV per atom
1.0
-2.6686 -3.0712 3.2564
-0.9103 -4.9726 -1.2659
2.4399 -3.8287 2.5584
Sc Lu Ho Ag
1 1 1 1
Cartesian
-0.8542 -8.9044 3.4117
-0.5695 -5.9362 2.2744
0.0000 0.0000 0.0000
-0.2847 -2.9681 1.1372



No. 4
PBE-GGA SmHoLuAg, optimized geometry; crystal system = cubic; electronic total energy = -4.12 eV/atom; calculated formation energy = 0.04 eV per atom
1.0
5.3659 0.0000 0.0000
2.6829 4.6470 0.0000
2.6829 1.5490 4.3812
Ag Lu Ho Sm
1 1 1 1
Cartesian
8.0488 4.6470 3.2859
2.6829 1.5490 1.0953
0.0000 0.0000 0.0000
5.3659 3.0980 2.1906



No. 5
PBE-GGA TbHoLuAg, optimized geometry; crystal system = cubic; electronic total energy = -4.10 eV/atom; calculated formation energy = 0.04 eV per atom
1.0
5.3338 0.0000 0.0000
2.6669 4.6192 0.0000
2.6669 1.5397 4.3550
Lu Tb Ho Ag
1 1 1 1
Cartesian
8.0007 4.6192 3.2663
0.0000 0.0000 0.0000
5.3338 3.0795 2.1775
2.6669 1.5397 1.0888



No. 6
PBE-GGA HoLuTlAg, optimized geometry; crystal system = cubic; electronic total energy = -3.91 eV/atom; calculated formation energy = -0.33 eV per atom
1.0
5.2000 0.0000 0.0000
2.6000 4.5033 0.0000
2.6000 1.5011 4.2458
Tl Lu Ho Ag
1 1 1 1
Cartesian
2.6000 1.5011 1.0614
0.0000 0.0000 0.0000
5.2000 3.0022 2.1229
7.8000 4.5033 3.1843



No. 7
PBE-GGA HoTmLuAg, optimized geometry; crystal system = cubic; electronic total energy = -4.06 eV/atom; calculated formation energy = 0.04 eV per atom
1.0
-5.1893 -0.3130 -1.0337
-2.5936 -4.5514 0.8086
-3.4761 -0.3982 3.9816
Lu Tm Ho Ag
1 1 1 1
Cartesian
-8.4443 -3.9469 2.8174
-5.6295 -2.6313 1.8783
0.0000 0.0000 0.0000
-2.8148 -1.3156 0.9391



No. 8
PBE-GGA YHoLuAg, optimized geometry; crystal system = cubic; electronic total energy = -4.56 eV/atom; calculated formation energy = 0.04 eV per atom
1.0
-1.9078 0.7779 4.9217
-3.8053 -3.2072 1.9239
1.1493 -3.4706 3.8861
Y Lu Ho Ag
1 1 1 1
Cartesian
-3.4228 -4.4249 8.0487
-2.2819 -2.9499 5.3658
-1.1409 -1.4750 2.6829
0.0000 0.0000 0.0000